## RbIn2GeS6 (GGA-PBE)

Data for RbIn2GeS6 after structural relaxation.

Cell lengths 8.3354, 9.3384, 9.3384 Å; angles 86.15, 67.13, 67.13 degrees
Site moments in Bohr magnetons follow the coordinates.
Fractional coordinates of all 20 atoms:
S: 0.7885 0.3391 0.4394  0.26
Ge: 0.2500 0.1585 0.8415  0.01
S: 0.6882 0.8327 0.9446  0.04
Rb: 0.2500 0.8236 0.1764  0.00
In: 0.4513 0.7607 0.6062  0.01
S: 0.2885 0.4394 0.3391  0.26
S: 0.1882 0.9446 0.8327  0.04
S: 0.7115 0.5606 0.6609  0.26
S: 0.2115 0.6609 0.5606  0.26
Ge: 0.7500 0.8415 0.1585  0.01
Rb: 0.7500 0.1764 0.8236  0.00
In: 0.9513 0.6062 0.7607  0.01
S: 0.3118 0.1673 0.0554  0.04
S: 0.9753 0.3593 0.8855  0.00
In: 0.0487 0.3938 0.2393  0.01
In: 0.5487 0.2393 0.3938  0.01
S: 0.4753 0.8855 0.3593  0.00
S: 0.0247 0.6407 0.1145  0.00
S: 0.8118 0.0554 0.1673  0.04
S: 0.5247 0.1145 0.6407  0.00

Properties
- crystal system = monoclinic
- density of states at the Fermi level (states/eV per cell) = 0.9
- total DFT energy (no corrections) (eV/cell) = -81.11

***

## MnCrSnN2 (GGA-PBE)

Data for MnCrSnN2 after structural relaxation.

Cell lengths 3.6901, 5.0805, 3.6901 Å; angles 90.00, 90.00, 90.00 degrees
Site moments in Bohr magnetons follow the coordinates.
Fractional coordinates of all 5 atoms:
Mn: 0.0000 0.0000 0.0000  -0.98
N: 0.0000 0.0000 0.5000  0.20
Sn: 0.5000 0.5000 0.5000  -0.12
N: 0.5000 0.0000 0.0000  0.27
Cr: 0.0000 0.5000 0.0000  2.70

Properties
- energy above the lowest structure with this stoichiometry (eV per atom) = 0.0000
- crystal system = tetragonal
- density of states at the Fermi level (states/eV per cell) = 3.1
- total DFT energy (no corrections) (eV/cell) = -35.37

***

## RbTlTe2Au (GGA-PBE)

Data for RbTlTe2Au after structural relaxation.

Cell lengths 6.8976, 7.4039, 8.3491 Å; angles 116.32, 90.00, 90.00 degrees
Fractional coordinates of all 10 atoms:
Rb: 0.7606 0.2500 0.5000
Tl: 0.5000 0.2500 0.0000
Te: 0.7468 0.6302 0.2604
Te: 0.2532 0.1302 0.2604
Rb: 0.2394 0.7500 0.5000
Au: 0.0000 0.5000 0.0000
Te: 0.2532 0.3698 0.7396
Au: 0.0000 0.0000 0.0000
Te: 0.7468 0.8698 0.7396
Tl: 0.5000 0.7500 0.0000

Properties
- energy above the lowest structure with this stoichiometry (eV per atom) = 0.0000
- crystal system = orthorhombic
- density of states at the Fermi level (states/eV per cell) = 3.5
- total DFT energy (no corrections) (eV/cell) = -30.18

***

## TbSiRh (GGA-PBE)

Data for TbSiRh after structural relaxation.

Cell lengths 4.2741, 6.9597, 7.3598 Å; angles 90.00, 90.00, 90.00 degrees
Fractional coordinates of all 12 atoms:
Rh: 0.7500 0.8471 0.9296
Si: 0.7500 0.7022 0.6042
Rh: 0.2500 0.6529 0.4296
Rh: 0.2500 0.1529 0.0704
Tb: 0.2500 0.4967 0.8127
Si: 0.2500 0.2978 0.3958
Tb: 0.7500 0.5033 0.1873
Si: 0.2500 0.7978 0.1042
Tb: 0.2500 0.9967 0.6873
Si: 0.7500 0.2022 0.8958
Rh: 0.7500 0.3471 0.5704
Tb: 0.7500 0.0033 0.3127

Properties
- crystal system = orthorhombic
- density of states at the Fermi level (states/eV per cell) = 7.2
- total DFT energy (no corrections) (eV/cell) = -82.12